{"formula": "Ca4InAu5", "functional": "PBE", "state": "optimized geometry", "spacegroup": "P4/mmm", "delta_e_f_ev_per_atom": -0.683, "lattice": [[3.6454, 0.0000, 0.0000], [0.0000, 3.6454, 0.0000], [0.0000, 0.0000, 17.6497]], "species": ["Ca", "Ca", "Ca", "Ca", "In", "Au", "Au", "Au", "Au", "Au"], "frac_coords": [[0.0000, 0.0000, 0.1023], [0.0000, 0.0000, 0.3085], [0.0000, 0.0000, 0.6915], [0.0000, 0.0000, 0.8977], [0.0000, 0.0000, 0.5000], [0.5000, 0.5000, 0.0000], [0.5000, 0.5000, 0.2050], [0.5000, 0.5000, 0.4078], [0.5000, 0.5000, 0.5922], [0.5000, 0.5000, 0.7950]]}

{"formula": "CaIn4Au4", "functional": "PBE", "state": "optimized geometry", "spacegroup": "P4_2/nmc", "delta_e_f_ev_per_atom": -0.302, "lattice": [[7.0235, 0.0000, 0.0000], [0.0000, 7.0235, 0.0000], [0.0000, 0.0000, 9.0016]], "species": ["Ca", "Ca", "In", "In", "In", "In", "In", "In", "In", "In", "Au", "Au", "Au", "Au", "Au", "Au", "Au", "Au"], "frac_coords": [[0.2500, 0.7500, 0.2500], [0.7500, 0.2500, 0.7500], [0.0086, 0.2500, 0.1318], [0.2500, 0.0086, 0.6318], [0.2500, 0.4914, 0.6318], [0.4914, 0.2500, 0.1318], [0.5086, 0.7500, 0.8682], [0.7500, 0.5086, 0.3682], [0.7500, 0.9914, 0.3682], [0.9914, 0.7500, 0.8682], [0.0406, 0.2500, 0.4416], [0.2500, 0.0406, 0.9416], [0.2500, 0.4594, 0.9416], [0.4594, 0.2500, 0.4416], [0.5406, 0.7500, 0.5584], [0.7500, 0.5406, 0.0584], [0.7500, 0.9594, 0.0584], [0.9594, 0.7500, 0.5584]]}

{"formula": "CaIn2Au2", "functional": "PBE", "state": "optimized geometry", "spacegroup": "P4/mbm", "delta_e_f_ev_per_atom": -0.314, "lattice": [[8.1766, 0.0000, 0.0000], [0.0000, 8.1766, 0.0000], [0.0000, 0.0000, 3.5147]], "species": ["Ca", "Ca", "In", "In", "In", "In", "Au", "Au", "Au", "Au"], "frac_coords": [[0.0000, 0.0000, 0.0000], [0.5000, 0.5000, 0.0000], [0.1272, 0.3728, 0.0000], [0.3728, 0.8728, 0.0000], [0.6272, 0.1272, 0.0000], [0.8728, 0.6272, 0.0000], [0.1753, 0.6753, 0.5000], [0.3247, 0.1753, 0.5000], [0.6753, 0.8247, 0.5000], [0.8247, 0.3247, 0.5000]]}

{"formula": "Ca11In9Au4", "functional": "PBE", "state": "optimized geometry", "spacegroup": "Cmmm", "delta_e_f_ev_per_atom": -0.579, "lattice": [[7.5467, -11.3178, 0.0000], [7.5467, 11.3178, 0.0000], [0.0000, 0.0000, 3.7748]], "species": ["Ca", "Ca", "Ca", "Ca", "Ca", "Ca", "Ca", "Ca", "Ca", "Ca", "Ca", "In", "In", "In", "In", "In", "In", "In", "In", "In", "Au", "Au", "Au", "Au"], "frac_coords": [[0.0000, 0.0000, 0.0000], [0.0654, 0.4121, 0.0000], [0.1615, 0.8385, 0.0000], [0.3032, 0.3032, 0.0000], [0.3702, 0.6298, 0.0000], [0.4121, 0.0654, 0.0000], [0.5879, 0.9346, 0.0000], [0.6298, 0.3702, 0.0000], [0.6968, 0.6968, 0.0000], [0.8385, 0.1615, 0.0000], [0.9346, 0.5879, 0.0000], [0.0741, 0.2156, 0.5000], [0.1619, 0.6331, 0.5000], [0.2156, 0.0741, 0.5000], [0.3669, 0.8381, 0.5000], [0.5000, 0.5000, 0.5000], [0.6331, 0.1619, 0.5000], [0.7844, 0.9259, 0.5000], [0.8381, 0.3669, 0.5000], [0.9259, 0.7844, 0.5000], [0.2469, 0.4485, 0.5000], [0.4485, 0.2469, 0.5000], [0.5515, 0.7531, 0.5000], [0.7531, 0.5515, 0.5000]]}

{"formula": "Ca4In5Au6", "functional": "PBE", "state": "optimized geometry", "spacegroup": "Cmc2_1", "delta_e_f_ev_per_atom": -0.556, "lattice": [[2.2800, -10.8786, 0.0000], [2.2800, 10.8786, 0.0000], [0.0000, 0.0000, 14.6647]], "species": ["Ca", "Ca", "Ca", "Ca", "Ca", "Ca", "Ca", "Ca", "In", "In", "In", "In", "In", "In", "In", "In", "In", "In", "Au", "Au", "Au", "Au", "Au", "Au", "Au", "Au", "Au", "Au", "Au", "Au"], "frac_coords": [[0.0360, 0.9640, 0.5000], [0.0525, 0.9475, 0.7711], [0.1397, 0.8603, 0.2782], [0.1784, 0.8216, 0.9443], [0.8216, 0.1784, 0.4443], [0.8603, 0.1397, 0.7782], [0.9475, 0.0525, 0.2711], [0.9640, 0.0360, 0.0000], [0.1785, 0.8215, 0.6220], [0.3213, 0.6787, 0.2846], [0.3257, 0.6743, 0.6053], [0.3445, 0.6555, 0.9462], [0.4718, 0.5282, 0.6513], [0.5282, 0.4718, 0.1513], [0.6555, 0.3445, 0.4462], [0.6743, 0.3257, 0.1053], [0.6787, 0.3213, 0.7846], [0.8215, 0.1785, 0.1220], [0.0906, 0.9094, 0.0924], [0.2329, 0.7671, 0.4460], [0.2626, 0.7373, 0.7768], [0.4006, 0.5994, 0.1253], [0.4226, 0.5774, 0.4275], [0.4572, 0.5428, 0.8471], [0.5428, 0.4572, 0.3471], [0.5774, 0.4226, 0.9275], [0.5994, 0.4006, 0.6253], [0.7373, 0.2626, 0.2768], [0.7671, 0.2329, 0.9460], [0.9094, 0.0906, 0.5924]]}

{"formula": "CaInAu6", "functional": "PBE", "state": "optimized geometry", "spacegroup": "Amm2", "polymorph_energy_mev_per_atom": 0, "delta_e_f_ev_per_atom": -0.315, "lattice": [[4.8274, 0.0000, 0.0000], [0.0000, 3.3603, 4.8861], [0.0000, -3.3603, 4.8861]], "species": ["Ca", "In", "Au", "Au", "Au", "Au", "Au", "Au"], "frac_coords": [[0.0000, 0.0000, 0.0000], [0.5000, 0.7197, 0.7197], [0.0000, 0.0532, 0.4896], [0.0000, 0.4896, 0.0532], [0.0000, 0.5432, 0.5432], [0.5000, 0.1861, 0.1861], [0.5000, 0.2288, 0.6694], [0.5000, 0.6694, 0.2288]]}

{"formula": "Ca2In3Au2", "functional": "PBE", "state": "optimized geometry", "spacegroup": "C2/m", "delta_e_f_ev_per_atom": -0.529, "lattice": [[5.4372, -2.2524, 0.0000], [5.4372, 2.2524, 0.0000], [-3.0944, 0.0000, 7.1144]], "species": ["Ca", "Ca", "In", "In", "In", "Au", "Au"], "frac_coords": [[0.1446, 0.1446, 0.2910], [0.8554, 0.8554, 0.7090], [0.3803, 0.3803, 0.0589], [0.5000, 0.5000, 0.5000], [0.6197, 0.6197, 0.9411], [0.1539, 0.1539, 0.7114], [0.8461, 0.8461, 0.2886]]}

{"formula": "CaIn2Au5", "functional": "PBE", "state": "optimized geometry", "spacegroup": "Immm", "delta_e_f_ev_per_atom": -0.356, "lattice": [[-2.1607, 3.1949, 6.4658], [2.1607, -3.1949, 6.4658], [2.1607, 3.1949, -6.4658]], "species": ["Ca", "In", "In", "Au", "Au", "Au", "Au", "Au"], "frac_coords": [[0.0000, 0.0000, 0.0000], [0.2773, 0.7773, 0.5000], [0.7227, 0.2227, 0.5000], [0.1565, 0.3872, 0.7694], [0.3822, 0.6128, 0.7694], [0.5000, 0.0000, 0.5000], [0.6178, 0.3872, 0.2306], [0.8435, 0.6128, 0.2306]]}

{"formula": "Ca3InAu4", "functional": "PBE", "state": "optimized geometry", "spacegroup": "Immm", "polymorph_energy_mev_per_atom": 70, "delta_e_f_ev_per_atom": -0.630, "lattice": [[-2.0302, 3.5037, 7.4292], [2.0302, -3.5037, 7.4292], [2.0302, 3.5037, -7.4292]], "species": ["Ca", "Ca", "Ca", "In", "Au", "Au", "Au", "Au"], "frac_coords": [[0.0000, 0.0000, 0.0000], [0.3097, 0.8097, 0.5000], [0.6903, 0.1903, 0.5000], [0.5000, 0.5000, 0.0000], [0.0723, 0.3738, 0.6986], [0.3248, 0.6262, 0.6986], [0.6752, 0.3738, 0.3014], [0.9277, 0.6262, 0.3014]]}

{"formula": "CaIn3Au", "functional": "PBE", "state": "optimized geometry", "spacegroup": "Pm-3m", "delta_e_f_ev_per_atom": -0.032, "lattice": [[5.3801, 0.0000, 0.0000], [0.0000, 5.3801, 0.0000], [0.0000, 0.0000, 5.3801]], "species": ["Ca", "In", "In", "In", "Au"], "frac_coords": [[0.0000, 0.0000, 0.0000], [0.0000, 0.5000, 0.5000], [0.5000, 0.0000, 0.5000], [0.5000, 0.5000, 0.0000], [0.5000, 0.5000, 0.5000]]}

{"formula": "CaIn4Au", "functional": "PBE", "state": "optimized geometry", "spacegroup": "F-43m", "delta_e_f_ev_per_atom": -0.052, "lattice": [[0.0000, 4.3077, 4.3077], [4.3077, 0.0000, 4.3077], [4.3077, 4.3077, 0.0000]], "species": ["Ca", "In", "In", "In", "In", "Au"], "frac_coords": [[0.0000, 0.0000, 0.0000], [0.1252, 0.6249, 0.6249], [0.6249, 0.1252, 0.6249], [0.6249, 0.6249, 0.1252], [0.6249, 0.6249, 0.6249], [0.2500, 0.2500, 0.2500]]}

{"formula": "Ca2InAu2", "functional": "PBE", "state": "optimized geometry", "spacegroup": "I4/mmm", "delta_e_f_ev_per_atom": -0.530, "lattice": [[-2.9174, 2.9174, 4.0564], [2.9174, -2.9174, 4.0564], [2.9174, 2.9174, -4.0564]], "species": ["Ca", "Ca", "In", "Au", "Au"], "frac_coords": [[0.2500, 0.7500, 0.5000], [0.7500, 0.2500, 0.5000], [0.0000, 0.0000, 0.0000], [0.3382, 0.3382, 0.0000], [0.6618, 0.6618, 0.0000]]}

{"formula": "CaInAu", "functional": "PBE", "state": "optimized geometry", "spacegroup": "P-6m2", "delta_e_f_ev_per_atom": -0.629, "lattice": [[4.8404, 0.0000, 0.0000], [-2.4202, 4.1919, 0.0000], [0.0000, 0.0000, 3.6385]], "species": ["Ca", "In", "Au"], "frac_coords": [[0.0000, 0.0000, 0.0000], [0.6667, 0.3333, 0.5000], [0.3333, 0.6667, 0.5000]]}

{"formula": "CaIn2Au2", "functional": "PBE", "state": "optimized geometry", "spacegroup": "P2_1/m", "delta_e_f_ev_per_atom": -0.488, "lattice": [[5.3873, 0.0000, 0.0000], [0.0000, 4.8896, 0.0000], [-2.4964, 0.0000, 9.1932]], "species": ["Ca", "Ca", "In", "In", "In", "In", "Au", "Au", "Au", "Au"], "frac_coords": [[0.1934, 0.2500, 0.2623], [0.8066, 0.7500, 0.7377], [0.2235, 0.2500, 0.6228], [0.3503, 0.7500, 0.0398], [0.6497, 0.2500, 0.9602], [0.7765, 0.7500, 0.3772], [0.1169, 0.2500, 0.8935], [0.3212, 0.7500, 0.4834], [0.6788, 0.2500, 0.5166], [0.8831, 0.7500, 0.1065]]}

{"formula": "Ca3In2Au9", "functional": "PBE", "state": "optimized geometry", "spacegroup": "Immm", "delta_e_f_ev_per_atom": -0.523, "lattice": [[-2.1500, 5.3418, 6.7731], [2.1500, -5.3418, 6.7731], [2.1500, 5.3418, -6.7731]], "species": ["Ca", "Ca", "Ca", "In", "In", "Au", "Au", "Au", "Au", "Au", "Au", "Au", "Au", "Au"], "frac_coords": [[0.0000, 0.0000, 0.0000], [0.2886, 0.2886, 0.0000], [0.7114, 0.7114, 0.0000], [0.3144, 0.5000, 0.8144], [0.6856, 0.5000, 0.1856], [0.0209, 0.6475, 0.3734], [0.1514, 0.8516, 0.2997], [0.2741, 0.6475, 0.6266], [0.4481, 0.1484, 0.2997], [0.5000, 0.0000, 0.5000], [0.5519, 0.8516, 0.7003], [0.7259, 0.3525, 0.3734], [0.8486, 0.1484, 0.7003], [0.9791, 0.3525, 0.6266]]}

{"formula": "Ca2InAu8", "functional": "PBE", "state": "optimized geometry", "spacegroup": "C2/m", "delta_e_f_ev_per_atom": -0.416, "lattice": [[7.3487, -2.9816, 0.0000], [7.3487, 2.9816, 0.0000], [-0.5776, 0.0000, 5.2876]], "species": ["Ca", "Ca", "In", "Au", "Au", "Au", "Au", "Au", "Au", "Au", "Au"], "frac_coords": [[0.1489, 0.1489, 0.3110], [0.8511, 0.8511, 0.6890], [0.5000, 0.5000, 0.5000], [0.0841, 0.5766, 0.1982], [0.2521, 0.7479, 0.0000], [0.3293, 0.3293, 0.6968], [0.4234, 0.9159, 0.8018], [0.5766, 0.0841, 0.1982], [0.6707, 0.6707, 0.3032], [0.7479, 0.2521, 0.0000], [0.9159, 0.4234, 0.8018]]}

{"formula": "CaIn3Au", "functional": "PBE", "state": "optimized geometry", "spacegroup": "Pm-3m", "delta_e_f_ev_per_atom": 0.788, "lattice": [[5.9139, 0.0000, 0.0000], [0.0000, 5.9139, 0.0000], [0.0000, 0.0000, 5.9139]], "species": ["Ca", "In", "In", "In", "Au"], "frac_coords": [[0.0000, 0.0000, 0.0000], [0.0000, 0.0000, 0.5000], [0.0000, 0.5000, 0.0000], [0.5000, 0.0000, 0.0000], [0.5000, 0.5000, 0.5000]]}

{"formula": "CaIn2Au2", "functional": "PBE", "state": "optimized geometry", "spacegroup": "I4/mmm", "delta_e_f_ev_per_atom": -0.474, "lattice": [[-2.1814, 2.1814, 6.4075], [2.1814, -2.1814, 6.4075], [2.1814, 2.1814, -6.4075]], "species": ["Ca", "In", "In", "Au", "Au"], "frac_coords": [[0.0000, 0.0000, 0.0000], [0.2500, 0.7500, 0.5000], [0.7500, 0.2500, 0.5000], [0.3945, 0.3945, 0.0000], [0.6055, 0.6055, 0.0000]]}

{"formula": "CaIn2Au3", "functional": "PBE", "state": "optimized geometry", "spacegroup": "Imma", "delta_e_f_ev_per_atom": -0.415, "lattice": [[-2.4134, 3.3478, 8.3374], [2.4134, -3.3478, 8.3374], [2.4134, 3.3478, -8.3374]], "species": ["Ca", "Ca", "In", "In", "In", "In", "Au", "Au", "Au", "Au", "Au", "Au"], "frac_coords": [[0.4154, 0.1654, 0.2500], [0.5846, 0.8346, 0.7500], [0.1061, 0.8561, 0.2500], [0.2816, 0.5316, 0.7500], [0.7184, 0.4684, 0.2500], [0.8939, 0.1439, 0.7500], [0.0000, 0.0000, 0.0000], [0.1638, 0.6891, 0.4747], [0.2856, 0.3109, 0.9747], [0.5000, 0.0000, 0.5000], [0.7144, 0.6891, 0.0253], [0.8362, 0.3109, 0.5253]]}

{"formula": "CaIn5Au6", "functional": "PBE", "state": "optimized geometry", "spacegroup": "P-1", "delta_e_f_ev_per_atom": -0.287, "lattice": [[4.4790, 0.0000, 0.0000], [-0.0598, 7.1838, 0.0000], [-2.0520, -2.5677, 8.4800]], "species": ["Ca", "In", "In", "In", "In", "In", "Au", "Au", "Au", "Au", "Au", "Au"], "frac_coords": [[0.0000, 0.0000, 0.0000], [0.0000, 0.5000, 0.0000], [0.3220, 0.7373, 0.6205], [0.3733, 0.2386, 0.7338], [0.6267, 0.7614, 0.2662], [0.6780, 0.2627, 0.3795], [0.1451, 0.4951, 0.3134], [0.1830, 0.0099, 0.3815], [0.4671, 0.7056, 0.9300], [0.5329, 0.2944, 0.0700], [0.8170, 0.9901, 0.6185], [0.8549, 0.5049, 0.6866]]}

{"formula": "Ca6In3Au", "functional": "PBE", "state": "optimized geometry", "spacegroup": "P2_1/m", "delta_e_f_ev_per_atom": -0.459, "lattice": [[9.4397, 0.0000, 0.0000], [0.0000, 5.4165, 0.0000], [-4.4187, 0.0000, 11.5393]], "species": ["Ca", "Ca", "Ca", "Ca", "Ca", "Ca", "Ca", "Ca", "Ca", "Ca", "Ca", "Ca", "In", "In", "In", "In", "In", "In", "Au", "Au"], "frac_coords": [[0.0220, 0.2500, 0.4192], [0.1748, 0.7500, 0.1594], [0.2640, 0.2500, 0.0006], [0.3468, 0.7500, 0.8286], [0.3642, 0.2500, 0.3525], [0.3842, 0.2500, 0.6440], [0.6158, 0.7500, 0.3560], [0.6358, 0.7500, 0.6475], [0.6532, 0.2500, 0.1714], [0.7360, 0.7500, 0.9994], [0.8252, 0.2500, 0.8406], [0.9780, 0.7500, 0.5808], [0.0199, 0.7500, 0.8664], [0.0833, 0.2500, 0.7212], [0.2673, 0.7500, 0.4718], [0.7327, 0.2500, 0.5282], [0.9167, 0.7500, 0.2788], [0.9801, 0.2500, 0.1336], [0.4580, 0.7500, 0.0970], [0.5420, 0.2500, 0.9030]]}